[1]
# ZnAgP2O

Crystalline ZnAgP2O at its relaxed geometry (GGA-PBE, Alexandria via LeMat-Bulk).

## Properties
The calculation puts the uncorrected formation energy at 933 meV/atom. The value obtained for the total energy is -3.05 eV per atom. Its energy above the most stable polymorph in this dataset is 1.72 eV/f.u. As for the crystal system: tetragonal. The value obtained for the volume is 94 Å³/f.u.

CIF file:
```
data_ZnAgP2O
_chemical_formula_sum 'Zn1 Ag1 P2 O1'
_space_group_name_H-M_alt 'P 4/m m m'
_space_group_IT_number 123
_space_group_name_Hall '-P 4 2'
_cell_length_a 4.910
_cell_length_b 4.910
_cell_length_c 3.918
_cell_angle_alpha 90.00
_cell_angle_beta 90.00
_cell_angle_gamma 90.00
loop_
_atom_site_label
_atom_site_fract_x
_atom_site_fract_y
_atom_site_fract_z
Zn1 0.000 0.000 0.000
Ag1 0.500 0.500 0.500
P1 0.000 0.500 0.500
O1 0.500 0.500 0.000
```

=====

[2]
# ZnAgP2O

Crystalline ZnAgP2O at its relaxed geometry (GGA-PBE, Alexandria via LeMat-Bulk).

## Properties
The calculation puts the uncorrected formation energy at 590 meV/atom. The value obtained for the total energy is -3.39 eV per atom. Its energy above the most stable polymorph in this dataset is 0.00 eV/f.u. As for the crystal system: tetragonal. The value obtained for the volume is 87 Å³/f.u.

CIF file:
```
data_ZnAgP2O
_chemical_formula_sum 'Zn1 Ag1 P2 O1'
_space_group_name_H-M_alt 'P 4/m m m'
_space_group_IT_number 123
_space_group_name_Hall '-P 4 2'
_cell_length_a 4.958
_cell_length_b 4.958
_cell_length_c 3.526
_cell_angle_alpha 90.00
_cell_angle_beta 90.00
_cell_angle_gamma 90.00
loop_
_atom_site_label
_atom_site_fract_x
_atom_site_fract_y
_atom_site_fract_z
Zn1 0.000 0.000 0.000
Ag1 0.500 0.500 0.500
P1 0.000 0.500 0.000
O1 0.000 0.000 0.500
```

=====

[3]
# ZnAg2P2O6

Crystalline ZnAg2P2O6 at its relaxed geometry (GGA-PBE, Alexandria via LeMat-Bulk).

## Properties
The calculation puts the uncorrected formation energy at -1059 meV/atom. The value obtained for the total energy is -5.38 eV per atom. As for the crystal system: trigonal. The value obtained for the volume is 176 Å³/f.u.

CIF file:
```
data_ZnAg2P2O6
_chemical_formula_sum 'Zn1 Ag2 P2 O6'
_space_group_name_H-M_alt 'P -3'
_space_group_IT_number 147
_cell_length_a 5.2379
_cell_length_b 5.2379
_cell_length_c 7.3935
_cell_angle_alpha 90.00
_cell_angle_beta 90.00
_cell_angle_gamma 120.00
loop_
_space_group_symop_operation_xyz
'x,y,z'
'-x,-y,-z'
'-y,x-y,z'
'y,-x+y,-z'
'-x+y,-x,z'
'x-y,x,-z'
loop_
_atom_site_label
_atom_site_fract_x
_atom_site_fract_y
_atom_site_fract_z
Zn1 0.0000 0.0000 0.0000
Ag1 0.3333 0.6667 0.8996
P1 0.3333 0.6667 0.2994
O1 0.0490 0.3783 0.2938
```

=====

[4]
# Pa3Ag5O12

Crystalline Pa3Ag5O12 at its relaxed geometry (GGA-PBE, Alexandria via LeMat-Bulk).

## Properties
The calculation puts the uncorrected formation energy at -1675 meV/atom. The value obtained for the total energy is -6.79 eV per atom. As for the crystal system: cubic. The value obtained for the volume is 279 Å³/f.u.

CIF file:
```
data_Pa3Ag5O12
_chemical_formula_sum 'Pa24 Ag40 O96'
_space_group_name_H-M_alt 'I a -3 d'
_space_group_IT_number 230
_space_group_name_Hall '-I 4bd 2c 3'
_cell_length_a 13.064
_cell_length_b 13.064
_cell_length_c 13.064
_cell_angle_alpha 90.00
_cell_angle_beta 90.00
_cell_angle_gamma 90.00
loop_
_atom_site_label
_atom_site_fract_x
_atom_site_fract_y
_atom_site_fract_z
Pa1 0.000 0.250 0.125
Ag1 0.000 0.000 0.000
Ag2 0.000 0.250 0.375
O1 0.013 0.077 0.653
```

=====

[5]
# PaAg5O5

Crystalline PaAg5O5 at its relaxed geometry (GGA-PBE, Alexandria via LeMat-Bulk).

## Properties
The calculation puts the uncorrected formation energy at -1119 meV/atom. The value obtained for the total energy is -5.53 eV per atom. As for the crystal system: monoclinic. The value obtained for the volume is 173 Å³/f.u.

CIF file:
```
data_PaAg5O5
_chemical_formula_sum 'Pa2 Ag10 O10'
_space_group_name_H-M_alt 'C 1 2/m 1'
_space_group_IT_number 12
_cell_length_a 12.061
_cell_length_b 4.454
_cell_length_c 7.478
_cell_angle_alpha 90.00
_cell_angle_beta 120.35
_cell_angle_gamma 90.00
loop_
_space_group_symop_operation_xyz
'x,y,z'
'-x,-y,-z'
'-x,y,-z'
'x,-y,z'
'x+1/2,y+1/2,z'
'-x+1/2,-y+1/2,-z'
'-x+1/2,y+1/2,-z'
'x+1/2,-y+1/2,z'
loop_
_atom_site_label
_atom_site_fract_x
_atom_site_fract_y
_atom_site_fract_z
Pa1 0.000 0.000 0.000
Ag1 0.000 0.000 0.500
Ag2 0.134 0.500 0.408
Ag3 0.149 0.500 0.805
O1 0.000 0.500 0.000
O2 0.118 0.000 0.831
O3 0.171 0.000 0.285
```

=====

[6]
# Pa2AgO5

Crystalline Pa2AgO5 at its relaxed geometry (GGA-PBE, Alexandria via LeMat-Bulk).

## Properties
The calculation puts the uncorrected formation energy at -2838 meV/atom. The value obtained for the total energy is -8.67 eV per atom. As for the crystal system: orthorhombic. The value obtained for the volume is 137 Å³/f.u.

CIF file:
```
data_Pa2AgO5
_chemical_formula_sum 'Pa8 Ag4 O20'
_space_group_name_H-M_alt 'C m c m'
_space_group_IT_number 63
_space_group_name_Hall '-C 2c 2'
_cell_length_a 4.227
_cell_length_b 11.918
_cell_length_c 10.891
_cell_angle_alpha 90.00
_cell_angle_beta 90.00
_cell_angle_gamma 90.00
loop_
_atom_site_label
_atom_site_fract_x
_atom_site_fract_y
_atom_site_fract_z
Pa1 0.000 0.136 0.066
Ag1 0.000 0.467 0.250
O1 0.000 0.045 0.607
O2 0.000 0.196 0.250
O3 0.000 0.313 0.528
```

=====

[7]
# Pa3AgO

Crystalline Pa3AgO at its relaxed geometry (GGA-PBE, Alexandria via LeMat-Bulk).

## Properties
The calculation puts the uncorrected formation energy at -718 meV/atom. The value obtained for the total energy is -7.98 eV per atom. As for the crystal system: cubic. The value obtained for the volume is 106 Å³/f.u.

CIF file:
```
data_Pa3AgO
_chemical_formula_sum 'Pa3 Ag1 O1'
_space_group_name_H-M_alt 'P m -3 m'
_space_group_IT_number 221
_space_group_name_Hall '-P 4 2 3'
_cell_length_a 4.734
_cell_length_b 4.734
_cell_length_c 4.734
_cell_angle_alpha 90.00
_cell_angle_beta 90.00
_cell_angle_gamma 90.00
loop_
_atom_site_label
_atom_site_fract_x
_atom_site_fract_y
_atom_site_fract_z
Pa1 0.000 0.000 0.500
Ag1 0.500 0.500 0.500
O1 0.000 0.000 0.000
```

=====

[8]
# Pa2AgO

Crystalline Pa2AgO at its relaxed geometry (GGA-PBE, Alexandria via LeMat-Bulk).

## Properties
The calculation puts the uncorrected formation energy at -796 meV/atom. The value obtained for the total energy is -7.50 eV per atom. As for the crystal system: trigonal. The value obtained for the volume is 82 Å³/f.u.

CIF file:
```
data_Pa2AgO
_chemical_formula_sum 'Pa6 Ag3 O3'
_space_group_name_H-M_alt 'R -3 m'
_space_group_IT_number 166
_space_group_name_Hall '-R 3 2"'
_cell_length_a 3.1794
_cell_length_b 3.1794
_cell_length_c 28.1331
_cell_angle_alpha 90.00
_cell_angle_beta 90.00
_cell_angle_gamma 120.00
loop_
_atom_site_label
_atom_site_fract_x
_atom_site_fract_y
_atom_site_fract_z
Pa1 0.0000 0.0000 0.1097
Ag1 0.0000 0.0000 0.0000
O1 0.0000 0.0000 0.5000
```

=====

[9]
# PaAg2O4

Crystalline PaAg2O4 at its relaxed geometry (GGA-PBE, Alexandria via LeMat-Bulk).

## Properties
The calculation puts the uncorrected formation energy at -1605 meV/atom. The value obtained for the total energy is -6.61 eV per atom. As for the crystal system: orthorhombic. The value obtained for the volume is 105 Å³/f.u.

CIF file:
```
data_PaAg2O4
_chemical_formula_sum 'Pa2 Ag4 O8'
_space_group_name_H-M_alt 'C m m m'
_space_group_IT_number 65
_space_group_name_Hall '-C 2 2'
_cell_length_a 3.901
_cell_length_b 13.408
_cell_length_c 4.002
_cell_angle_alpha 90.00
_cell_angle_beta 90.00
_cell_angle_gamma 90.00
loop_
_atom_site_label
_atom_site_fract_x
_atom_site_fract_y
_atom_site_fract_z
Pa1 0.000 0.000 0.000
Ag1 0.000 0.324 0.500
O1 0.000 0.092 0.500
O2 0.000 0.406 0.000
```

=====

[10]
# PaAg3O4

Crystalline PaAg3O4 at its relaxed geometry (GGA-PBE, Alexandria via LeMat-Bulk).

## Properties
The calculation puts the uncorrected formation energy at -1439 meV/atom. The value obtained for the total energy is -6.17 eV per atom. As for the crystal system: orthorhombic. The value obtained for the volume is 125 Å³/f.u.

CIF file:
```
data_PaAg3O4
_chemical_formula_sum 'Pa2 Ag6 O8'
_space_group_name_H-M_alt 'C m m m'
_space_group_IT_number 65
_space_group_name_Hall '-C 2 2'
_cell_length_a 6.394
_cell_length_b 11.019
_cell_length_c 3.550
_cell_angle_alpha 90.00
_cell_angle_beta 90.00
_cell_angle_gamma 90.00
loop_
_atom_site_label
_atom_site_fract_x
_atom_site_fract_y
_atom_site_fract_z
Pa1 0.000 0.000 0.000
Ag1 0.000 0.500 0.000
Ag2 0.250 0.250 0.500
O1 0.000 0.189 0.000
O2 0.224 0.000 0.500
```

=====

[11]
# Pa4AgO10

Crystalline Pa4AgO10 at its relaxed geometry (GGA-PBE, Alexandria via LeMat-Bulk).

## Properties
The calculation puts the uncorrected formation energy at -3245 meV/atom. The value obtained for the total energy is -9.27 eV per atom. As for the crystal system: tetragonal. The value obtained for the volume is 202 Å³/f.u.

CIF file:
```
data_Pa4AgO10
_chemical_formula_sum 'Pa8 Ag2 O20'
_space_group_name_H-M_alt 'I 4/m'
_space_group_IT_number 87
_space_group_name_Hall '-I 4'
_cell_length_a 8.610
_cell_length_b 8.610
_cell_length_c 5.457
_cell_angle_alpha 90.00
_cell_angle_beta 90.00
_cell_angle_gamma 90.00
loop_
_atom_site_label
_atom_site_fract_x
_atom_site_fract_y
_atom_site_fract_z
Pa1 0.102 0.703 0.000
Ag1 0.000 0.000 0.500
O1 0.000 0.500 0.250
O2 0.104 0.216 0.234
```

=====

[12]
# Pa2AgO7

Crystalline Pa2AgO7 at its relaxed geometry (GGA-PBE, Alexandria via LeMat-Bulk).

## Properties
The calculation puts the uncorrected formation energy at -2312 meV/atom. The value obtained for the total energy is -7.97 eV per atom. As for the crystal system: monoclinic. The value obtained for the volume is 139 Å³/f.u.

CIF file:
```
data_Pa2AgO7
_chemical_formula_sum 'Pa4 Ag2 O14'
_space_group_name_H-M_alt 'C 1 m 1'
_space_group_IT_number 8
_cell_length_a 19.184
_cell_length_b 3.871
_cell_length_c 3.820
_cell_angle_alpha 90.00
_cell_angle_beta 100.60
_cell_angle_gamma 90.00
loop_
_space_group_symop_operation_xyz
'x,y,z'
'x,-y,z'
'x+1/2,y+1/2,z'
'x+1/2,-y+1/2,z'
loop_
_atom_site_label
_atom_site_fract_x
_atom_site_fract_y
_atom_site_fract_z
Pa1 0.000 0.000 0.000
Pa2 0.156 0.500 0.646
Ag1 0.328 0.000 0.823
O1 0.070 0.500 0.064
O2 0.086 0.000 0.580
O3 0.206 0.500 0.194
O4 0.221 0.000 0.704
O5 0.328 0.500 0.956
O6 0.435 0.000 0.936
O7 0.450 0.500 0.455
```